No. 1
Here is crystalline CoTe8 at its relaxed geometry from OQMD via LeMat-Bulk. Energies are from GGA-PBE.

- E_tot (eV for the cell shown) = -30.47
- space group = P-62m

POSCAR file:
```
CoTe8
1.0
-5.7503 -4.8308 4.9698
8.5596 -2.6675 -0.8485
0.9231 2.0029 3.0149
Te Co
8 1
Direct
0.3333 0.6667 0.5000
0.6667 0.3333 0.5000
0.1941 0.0000 0.5000
0.0000 0.5342 0.0000
0.8059 0.8059 0.5000
0.5342 0.0000 0.0000
0.0000 0.1941 0.5000
0.4658 0.4658 0.0000
0.0000 0.0000 0.0000
```



No. 2
Here is crystalline Co10Te at its relaxed geometry from OQMD via LeMat-Bulk. Energies are from GGA-PBE.

- E_tot (eV for the cell shown) = -147.89
- space group = C2/m

POSCAR file:
```
Co10Te
1.0
3.8854 -1.7647 0.0000
3.8854 1.7647 0.0000
-0.1996 0.0000 28.8706
Co Te
20 2
Direct
0.1492 0.1492 0.2582
0.0479 0.0479 0.9047
0.2536 0.2536 0.7970
0.5506 0.5506 0.0406
0.3514 0.3514 0.1496
0.9521 0.9521 0.0953
0.4494 0.4494 0.9594
0.1494 0.1494 0.9864
0.7493 0.7493 0.9321
0.6524 0.6524 0.1225
0.2507 0.2507 0.0679
0.8508 0.8508 0.7418
0.9503 0.9503 0.8227
0.6486 0.6486 0.8504
0.3476 0.3476 0.8775
0.8506 0.8506 0.0136
0.0497 0.0497 0.1773
0.7464 0.7464 0.2030
0.5500 0.5500 0.7695
0.4500 0.4500 0.2305
0.8472 0.8472 0.2954
0.1528 0.1528 0.7046
```